## Ac2CePuO8 (PBE)

Data for a geometry-optimized Ac2CePuO8 structure.

a = 4.136 Å, b = 5.756 Å, c = 7.885 Å
α = 87.22°, β = 90.46°, γ = 96.11°
Element x y z (fractional)
Ac 0.504 0.492 0.250
Ac 0.496 0.508 0.750
Ce 0.000 0.000 0.500
Pu 0.000 0.000 0.000
O 0.945 0.221 0.789
O 0.417 0.210 0.009
O 0.043 0.775 0.753
O 0.055 0.779 0.211
O 0.583 0.790 0.991
O 0.957 0.225 0.247
O 0.553 0.764 0.487
O 0.447 0.236 0.513

Properties
Formation energy (no corrections) ... -3113.5 meV per atom
Symmetry ... P-1 (2)


## ErScBi (PBE)

Data for a geometry-optimized ErScBi structure.

a = 3.922 Å, b = 3.922 Å, c = 5.911 Å
α = 109.38°, β = 109.38°, γ = 90.00°
Element x y z (fractional)
Sc 0.628 0.628 0.257
Bi 0.274 0.274 0.549
Er 0.947 0.947 0.894

Properties
Calculated total energy ... -16.0 eV per cell
Symmetry ... I4mm (107)


## Sc2BPt2Rh4 (PBE)

Data for a geometry-optimized Sc2BPt2Rh4 structure.

a = 5.714 Å, b = 5.714 Å, c = 5.714 Å
α = 90.47°, β = 119.73°, γ = 119.73°
Element x y z (fractional)
Sc 0.500 0.750 0.250
Sc 0.500 0.250 0.750
B 0.000 0.000 0.000
Pt 0.000 0.740 0.740
Pt 0.000 0.260 0.260
Rh 0.000 0.743 0.257
Rh 0.487 0.743 0.743
Rh 0.000 0.257 0.743
Rh 0.513 0.257 0.257

Properties
Calculated total energy ... -68.8 eV per cell
Symmetry ... I4/mmm (139)


## YCr2Br (PBE)

Data for a geometry-optimized YCr2Br structure.

a = 6.116 Å, b = 6.116 Å, c = 6.116 Å
α = 140.63°, β = 140.63°, γ = 56.90°
Element x y z (fractional)
Br 0.750 0.250 0.500
Cr 0.000 0.000 0.000
Cr 0.500 0.500 0.000
Y 0.250 0.750 0.500

Properties
ΔE to the lowest computed polymorph ... 46.2 kJ per mole of atoms
Formation energy (no corrections) ... 497.3 meV per atom
Symmetry ... I4/mmm (139)


no.,total moment (μB per formula unit)
1,2.00
2,1.02
3,0.00
4,8.68